Here is HfSi3Cl at its PBEsol-relaxed geometry from Alexandria via LeMat-Bulk. Energies are from SCAN.

Cell: 4.504 4.504 4.504 Å, 90.00 90.00 90.00°
Element x y z (fractional)
1 Si 0.500 0.000 0.000
2 Si 0.000 0.500 0.000
3 Si 0.000 0.000 0.500
4 Hf 0.500 0.500 0.500
5 Cl 0.000 0.000 0.000

Calculated values
- formation energy without anion corrections (eV per formula unit) = 5.1
- calculated volume (Å³/atom) = 18.27
- calculated total energy (eV/atom) = -19.112
- ρ (g/cm3) = 5.42

***

Here is Ag6Pt5 at its PBEsol-relaxed geometry from Alexandria via LeMat-Bulk. Energies are from SCAN.

Cell: 4.864 6.272 6.281 Å, 107.24 105.07 97.24°
Element x y z (fractional)
1 Ag 0.586 0.820 0.361
2 Ag 0.677 0.636 0.725
3 Ag 0.414 0.180 0.639
4 Ag 0.778 0.455 0.094
5 Ag 0.323 0.364 0.275
6 Ag 0.222 0.545 0.906
7 Pt 0.500 0.000 0.000
8 Pt 0.962 0.086 0.822
9 Pt 0.130 0.728 0.542
10 Pt 0.870 0.272 0.458
11 Pt 0.038 0.914 0.178

Calculated values
- distance to the lowest polymorph of the same formula (eV per atom) = 0.0285
- calculated volume (Å³/atom) = 15.67
- calculated total energy (eV/atom) = -48.991
- ρ (g/cm3) = 15.63

***

Here is Re2RuPt at its PBEsol-relaxed geometry from Alexandria via LeMat-Bulk. Energies are from SCAN.

Cell: 2.722 4.364 4.787 Å, 90.00 90.00 90.00°
Element x y z (fractional)
1 Pt 0.500 0.500 0.211
2 Re 0.000 0.000 0.035
3 Re 0.000 0.500 0.712
4 Ru 0.500 0.000 0.542

Calculated values
- calculated volume (Å³/atom) = 14.22
- calculated total energy (eV/atom) = -61.978
- ρ (g/cm3) = 19.52

***

Here is Hg4Pb5 at its PBEsol-relaxed geometry from Alexandria via LeMat-Bulk. Energies are from SCAN.

Cell: 3.654 8.329 8.329 Å, 87.24 77.33 77.33°
Element x y z (fractional)
1 Pb 0.000 0.000 0.000
2 Pb 0.667 0.666 0.000
3 Pb 0.333 0.334 0.000
4 Pb 0.667 0.000 0.666
5 Pb 0.333 0.000 0.334
6 Hg 0.657 0.343 0.343
7 Hg 0.000 0.657 0.343
8 Hg 0.000 0.343 0.657
9 Hg 0.343 0.657 0.657

Calculated values
- calculated volume (Å³/atom) = 26.81
- calculated total energy (eV/atom) = -72.348
- ρ (g/cm3) = 12.65

***

Here is KCu3Si at its PBEsol-relaxed geometry from Alexandria via LeMat-Bulk. Energies are from SCAN.

Cell: 4.549 4.549 4.549 Å, 90.00 90.00 90.00°
Element x y z (fractional)
1 K 0.500 0.500 0.500
2 Cu 0.000 0.500 0.000
3 Cu 0.500 0.000 0.000
4 Cu 0.000 0.000 0.500
5 Si 0.000 0.000 0.000

Calculated values
- formation energy without anion corrections (eV per formula unit) = 1.2
- calculated volume (Å³/atom) = 18.82
- calculated total energy (eV/atom) = -12.550
- ρ (g/cm3) = 4.55

***

Here is CaCd2Hg at its PBEsol-relaxed geometry from Alexandria via LeMat-Bulk. Energies are from SCAN.

Cell: 5.027 5.029 5.027 Å, 60.01 90.00 119.99°
Element x y z (fractional)
1 Ca 0.750 0.500 0.750
2 Cd 0.000 0.000 0.000
3 Cd 0.250 0.500 0.250
4 Hg 0.500 0.000 0.500

Calculated values
- calculated volume (Å³/atom) = 22.47
- calculated total energy (eV/atom) = -35.043
- ρ (g/cm3) = 8.60

***

Here is YBeTe2N at its PBEsol-relaxed geometry from Alexandria via LeMat-Bulk. Energies are from SCAN.

Cell: 3.176 5.546 5.546 Å, 90.00 90.00 90.00°
Element x y z (fractional)
1 Te 0.000 0.500 0.000
2 Te 0.000 0.000 0.500
3 N 0.500 0.000 0.000
4 Be 0.000 0.000 0.000
5 Y 0.500 0.500 0.500

Calculated values
- formation energy without anion corrections (eV per formula unit) = -1.3
- calculated volume (Å³/atom) = 19.53
- calculated total energy (eV/atom) = -23.462
- ρ (g/cm3) = 6.24

***

Here is SrTa2Se at its PBEsol-relaxed geometry from Alexandria via LeMat-Bulk. Energies are from SCAN.

Cell: 4.873 4.873 4.873 Å, 60.00 60.00 60.00°
Element x y z (fractional)
1 Ta 0.750 0.750 0.750
2 Ta 0.000 0.000 0.000
3 Sr 0.250 0.250 0.250
4 Se 0.500 0.500 0.500

Calculated values
- formation energy without anion corrections (eV per formula unit) = 2.7
- calculated volume (Å³/atom) = 20.45
- calculated total energy (eV/atom) = -43.203
- ρ (g/cm3) = 10.73

***

Here is OsSN3 at its PBEsol-relaxed geometry from Alexandria via LeMat-Bulk. Energies are from SCAN.

Cell: 3.853 3.853 3.853 Å, 90.00 90.00 90.00°
Element x y z (fractional)
1 N 0.000 0.000 0.500
2 N 0.500 0.000 0.000
3 N 0.000 0.500 0.000
4 S 0.500 0.500 0.500
5 Os 0.000 0.000 0.000

Calculated values
- formation energy without anion corrections (eV per formula unit) = 8.1
- calculated volume (Å³/atom) = 11.44
- calculated total energy (eV/atom) = -20.258
- ρ (g/cm3) = 7.68

***

Here is Y2V2O7 at its PBEsol-relaxed geometry from Alexandria via LeMat-Bulk. Energies are from SCAN.

Cell: 7.034 7.034 7.034 Å, 60.00 60.00 60.00°
Each line ends with the local moment (μB).
Element x y z (fractional)
1 O 0.047 0.453 0.047  -0.02
2 O 0.047 0.047 0.453  -0.02
3 O 0.797 0.203 0.797  -0.02
4 O 0.203 0.797 0.203  -0.02
5 O 0.453 0.047 0.047  -0.02
6 O 0.453 0.047 0.453  -0.02
7 O 0.797 0.203 0.203  -0.02
8 O 0.500 0.500 0.500  0.00
9 O 0.797 0.797 0.203  -0.02
10 O 0.203 0.797 0.797  -0.02
11 O 0.047 0.453 0.453  -0.02
12 O 0.750 0.750 0.750  0.00
13 O 0.453 0.453 0.047  -0.02
14 O 0.203 0.203 0.797  -0.02
15 Y 0.625 0.125 0.625  0.01
16 Y 0.625 0.625 0.125  0.01
17 Y 0.125 0.625 0.625  0.01
18 Y 0.625 0.625 0.625  0.01
19 V 0.125 0.125 0.125  1.02
20 V 0.125 0.625 0.125  1.02
21 V 0.125 0.125 0.625  1.02
22 V 0.625 0.125 0.125  1.02

Calculated values
- formation energy without anion corrections (eV per formula unit) = -36.2
- distance to the lowest polymorph of the same formula (eV per atom) = 0.0000
- calculated volume (Å³/atom) = 11.19
- calculated total energy (eV/atom) = -15.498
- ρ (g/cm3) = 5.29

***

Copy entry 9 word for word.
Here is OsSN3 at its PBEsol-relaxed geometry from Alexandria via LeMat-Bulk. Energies are from SCAN.

Cell: 3.853 3.853 3.853 Å, 90.00 90.00 90.00°
Element x y z (fractional)
1 N 0.000 0.000 0.500
2 N 0.500 0.000 0.000
3 N 0.000 0.500 0.000
4 S 0.500 0.500 0.500
5 Os 0.000 0.000 0.000

Calculated values
- formation energy without anion corrections (eV per formula unit) = 8.1
- calculated volume (Å³/atom) = 11.44
- calculated total energy (eV/atom) = -20.258
- ρ (g/cm3) = 7.68